Record 1
An optimized crystal structure of MnAlNi, computed with PBE-GGA.

Computed properties:
total DFT energy (no corrections) = -6.471 eV/atom
calculated formation energy = -23 kJ per mole of atoms
SG = No. 156

abc: 4.079 4.079 2.636
angles: 90.00 90.00 120.00
Last column: magnetic moment on the atom in μB.
Atoms (fractional coordinates):
Ni1 0.667 0.333 0.695  0.53
Mn1 0.333 0.667 0.365  2.92
Al1 0.000 0.000 0.941  -0.04

---

Record 2
An optimized crystal structure of MnAl2Ni, computed with PBE-GGA.

Computed properties:
total DFT energy (no corrections) = -5.845 eV/atom
calculated formation energy = -23 kJ per mole of atoms
SG = No. 99

abc: 3.087 3.087 5.606
angles: 90.00 90.00 90.00
Last column: magnetic moment on the atom in μB.
Atoms (fractional coordinates):
Ni1 0.500 0.500 0.760  0.33
Mn1 0.000 0.000 0.503  2.93
Al1 0.000 0.000 0.969  -0.02
Al2 0.500 0.500 0.269  -0.04

---

Record 3
An optimized crystal structure of Mn2AlNi5, computed with PBE-GGA.

Computed properties:
total DFT energy (no corrections) = -6.572 eV/atom
calculated formation energy = -19 kJ per mole of atoms
SG = No. 139

abc: 3.756 3.756 7.216
angles: 105.08 105.08 90.00
Last column: magnetic moment on the atom in μB.
Atoms (fractional coordinates):
Mn1 0.751 0.751 0.502  3.36
Mn2 0.249 0.249 0.498  3.36
Al1 0.000 0.000 0.000  -0.02
Ni1 0.500 0.500 0.000  0.15
Ni2 0.876 0.376 0.753  0.47
Ni3 0.376 0.876 0.753  0.47
Ni4 0.124 0.624 0.247  0.47
Ni5 0.624 0.124 0.247  0.47

---

Record 4
An optimized crystal structure of Mn2AlNi3, computed with PBE-GGA.

Computed properties:
total DFT energy (no corrections) = -6.844 eV/atom
calculated formation energy = -26 kJ per mole of atoms
SG = No. 164

abc: 4.101 4.101 10.067
angles: 90.00 90.00 120.00
Last column: magnetic moment on the atom in μB.
Atoms (fractional coordinates):
Mn1 0.000 0.000 0.500  3.34
Mn2 0.333 0.667 0.168  3.40
Mn3 0.667 0.333 0.832  3.40
Mn4 0.000 0.000 0.000  3.50
Al1 0.333 0.667 0.666  -0.03
Al2 0.667 0.333 0.334  -0.03
Ni1 0.333 0.667 0.418  0.39
Ni2 0.667 0.333 0.083  0.66
Ni3 0.000 0.000 0.749  0.49
Ni4 0.000 0.000 0.251  0.49
Ni5 0.333 0.667 0.917  0.66
Ni6 0.667 0.333 0.582  0.39

---

Record 5
An optimized crystal structure of MnAl4Ni5, computed with PBE-GGA.

Computed properties:
total DFT energy (no corrections) = -5.837 eV/atom
calculated formation energy = -51 kJ per mole of atoms
SG = No. 123

abc: 2.908 2.908 14.377
angles: 90.00 90.00 90.00
Last column: magnetic moment on the atom in μB.
Atoms (fractional coordinates):
Mn1 0.000 0.000 0.000  3.50
Al1 0.000 0.000 0.201  0.00
Al2 0.000 0.000 0.401  0.00
Al3 0.000 0.000 0.599  0.00
Al4 0.000 0.000 0.799  0.00
Ni1 0.500 0.500 0.102  0.38
Ni2 0.500 0.500 0.301  -0.01
Ni3 0.500 0.500 0.500  -0.01
Ni4 0.500 0.500 0.699  -0.01
Ni5 0.500 0.500 0.898  0.38

---

Record 6
An optimized crystal structure of MnAl2Ni, computed with PBE-GGA.

Computed properties:
total DFT energy (no corrections) = -5.954 eV/atom
calculated formation energy = -33 kJ per mole of atoms
SG = No. 119

abc: 4.711 4.711 4.711
angles: 134.62 134.62 66.12
Last column: magnetic moment on the atom in μB.
Atoms (fractional coordinates):
Ni1 0.750 0.250 0.500  0.30
Mn1 0.500 0.500 0.000  2.79
Al1 0.000 0.000 0.000  -0.04
Al2 0.250 0.750 0.500  -0.03

---

Record 7
An optimized crystal structure of MnAl2Ni, computed with PBE-GGA.

Computed properties:
total DFT energy (no corrections) = -5.851 eV/atom
calculated formation energy = -23 kJ per mole of atoms
SG = No. 166

abc: 8.268 8.268 8.268
angles: 19.03 19.03 19.03
Last column: magnetic moment on the atom in μB.
Atoms (fractional coordinates):
Ni1 0.750 0.750 0.750  0.09
Mn1 0.250 0.250 0.250  2.45
Al1 0.003 0.003 0.003  -0.03
Al2 0.497 0.497 0.497  -0.03

---

Record 8
An optimized crystal structure of Mn2AlNi4, computed with PBE-GGA.

Computed properties:
total DFT energy (no corrections) = -6.485 eV/atom
calculated formation energy = -3 kJ per mole of atoms
SG = No. 139

abc: 4.933 4.933 4.933
angles: 103.33 112.63 112.63
Last column: magnetic moment on the atom in μB.
Atoms (fractional coordinates):
Ni1 0.500 0.000 0.000  0.57
Ni2 0.500 0.500 0.500  0.57
Ni3 0.000 0.000 0.500  0.57
Ni4 0.000 0.500 0.000  0.57
Mn1 0.500 0.500 0.000  3.36
Mn2 0.500 0.000 0.500  3.36
Al1 0.000 0.000 0.000  -0.04